VASP calculation (GGA-PBE) on TaCo2 after structural relaxation.

abc: 4.2055 4.2055 5.0595
angles: 90.00 90.00 120.00
Element x y z (fractional)
1 Ta 0.3333 0.6667 0.2500
2 Ta 0.6667 0.3333 0.7500
3 Co 0.0000 0.0000 0.0000
4 Co 0.0000 0.0000 0.5000
5 Co 0.3333 0.6667 0.7500
6 Co 0.6667 0.3333 0.2500

Properties
**ΔH_f (0 K)**: -15.4 kJ/mol of atoms